[1]
Entry from Alexandria via LeMat-Bulk: crystalline PmPr8Nd5 at its relaxed geometry (PBE).

Structure (POSCAR):
```
PmPr8Nd5
1.0
8.720 -0.103 0.177
-3.047 8.171 -0.177
-2.625 -4.182 7.190
Pm Pr Nd
1 8 5
Direct
0.250 0.500 0.750
0.174 0.734 0.070
0.930 0.103 0.664
0.725 0.255 0.329
0.671 0.396 0.926
0.530 0.604 0.275
0.561 0.897 0.826
0.336 0.266 0.439
0.074 0.745 0.470
0.033 0.314 0.134
0.866 0.899 0.181
0.819 0.686 0.719
0.500 0.000 0.500
0.281 0.101 0.967
```

Calculated values
E_form = 0.22 eV per atom
Spin magnetization = 0.00 μB/cell
Crystal system = tetragonal
Calculated volume = 36.40 Å³/atom



[2]
Entry from Alexandria via LeMat-Bulk: crystalline PmPr3Nd at its relaxed geometry (PBE).

Structure (POSCAR):
```
PmPr3Nd
1.0
6.100 0.000 0.000
-3.050 4.869 0.000
0.000 0.000 12.213
Pm Pr Nd
2 6 2
Direct
0.298 0.596 0.250
0.702 0.404 0.750
0.050 0.101 0.750
0.950 0.899 0.250
0.356 0.712 0.599
0.644 0.288 0.401
0.644 0.288 0.099
0.356 0.712 0.901
0.000 0.000 0.500
0.000 0.000 0.000
```

Calculated values
Energy above the lowest structure with this stoichiometry = 25 meV per atom
E_form = 0.19 eV per atom
Spin magnetization = 0.00 μB/cell
Crystal system = orthorhombic
Calculated volume = 36.28 Å³/atom



[3]
Entry from Alexandria via LeMat-Bulk: crystalline Pm12Pr2Nd5 at its relaxed geometry (PBE).

Structure (POSCAR):
```
Pm12Pr2Nd5
1.0
-6.268 6.301 -3.088
6.469 -5.224 -9.458
-6.055 -3.255 5.649
Pm Pr Nd
12 2 5
Direct
0.071 0.142 0.264
0.033 0.705 0.947
0.673 0.705 0.947
0.173 0.736 0.416
0.564 0.736 0.416
0.557 0.115 0.770
0.443 0.885 0.230
0.827 0.264 0.584
0.436 0.264 0.584
0.967 0.295 0.053
0.327 0.295 0.053
0.929 0.858 0.736
0.671 0.000 0.000
0.329 0.000 0.000
0.289 0.577 0.612
0.232 0.465 0.897
0.000 0.000 0.500
0.768 0.535 0.103
0.711 0.423 0.388
```

Calculated values
Energy above the lowest structure with this stoichiometry = 20 meV per atom
E_form = 0.12 eV per atom
Spin magnetization = 0.00 μB/cell
Crystal system = monoclinic
Calculated volume = 35.33 Å³/atom



[4]
Entry from Alexandria via LeMat-Bulk: crystalline PmPr6Nd2 at its relaxed geometry (PBE).

Structure (POSCAR):
```
PmPr6Nd2
1.0
8.360 0.000 0.000
0.000 8.360 0.000
0.000 0.000 10.700
Pm Pr Nd
2 12 4
Direct
0.000 0.000 0.000
0.500 0.500 0.500
0.263 0.263 0.333
0.737 0.737 0.333
0.237 0.763 0.833
0.763 0.237 0.833
0.237 0.763 0.167
0.763 0.237 0.167
0.263 0.263 0.667
0.737 0.737 0.667
0.262 0.262 0.000
0.738 0.738 0.000
0.238 0.762 0.500
0.762 0.238 0.500
0.000 0.000 0.334
0.500 0.500 0.834
0.500 0.500 0.166
0.000 0.000 0.666
```

Calculated values
Energy above the lowest structure with this stoichiometry = 412 meV per atom
E_form = 0.58 eV per atom
Spin magnetization = 0.00 μB/cell
Crystal system = tetragonal
Calculated volume = 41.55 Å³/atom



[5]
Entry from Alexandria via LeMat-Bulk: crystalline Pm3Pr5Nd4 at its relaxed geometry (PBE).

Structure (POSCAR):
```
Pm3Pr5Nd4
1.0
7.108 -0.450 1.881
-5.328 7.793 -6.857
4.213 -4.088 11.943
Pm Pr Nd
3 5 4
Direct
0.584 0.167 0.333
0.000 0.000 0.500
0.416 0.833 0.667
0.334 0.666 0.832
0.500 0.000 0.500
0.750 0.499 0.000
0.250 0.501 0.000
0.666 0.334 0.168
0.916 0.832 0.666
0.834 0.668 0.833
0.166 0.332 0.167
0.084 0.168 0.334
```

Calculated values
Energy above the lowest structure with this stoichiometry = 0 meV per atom
E_form = 0.01 eV per atom
Spin magnetization = 0.00 μB/cell
Crystal system = triclinic
Calculated volume = 35.49 Å³/atom



[6]
Entry from Alexandria via LeMat-Bulk: crystalline Pm3Pr3Nd at its relaxed geometry (PBE).

Structure (POSCAR):
```
Pm3Pr3Nd
1.0
5.952 0.000 0.000
0.000 9.847 0.000
0.000 -4.923 8.528
Pm Pr Nd
6 6 2
Direct
0.250 0.811 0.764
0.250 0.236 0.047
0.250 0.953 0.189
0.750 0.189 0.236
0.750 0.764 0.953
0.750 0.047 0.811
0.750 0.621 0.525
0.750 0.475 0.095
0.750 0.905 0.379
0.250 0.379 0.475
0.250 0.525 0.905
0.250 0.095 0.621
0.250 0.667 0.333
0.750 0.333 0.667
```

Calculated values
Energy above the lowest structure with this stoichiometry = 0 meV per atom
E_form = 0.03 eV per atom
Spin magnetization = 0.00 μB/cell
Crystal system = hexagonal
Calculated volume = 35.70 Å³/atom



[7]
Entry from Alexandria via LeMat-Bulk: crystalline PmPrNd4 at its relaxed geometry (PBE).

Structure (POSCAR):
```
PmPrNd4
1.0
-4.059 -0.080 5.839
6.343 -3.216 -0.001
4.218 8.319 3.046
Pm Pr Nd
2 2 8
Direct
0.000 0.000 0.000
0.000 0.000 0.500
0.183 0.817 0.750
0.817 0.183 0.250
0.666 0.334 0.924
0.334 0.666 0.424
0.334 0.666 0.076
0.666 0.334 0.576
0.365 0.182 0.250
0.635 0.818 0.750
0.182 0.365 0.750
0.818 0.635 0.250
```

Calculated values
Energy above the lowest structure with this stoichiometry = 201 meV per atom
E_form = 0.21 eV per atom
Spin magnetization = 0.00 μB/cell
Crystal system = orthorhombic
Calculated volume = 35.72 Å³/atom



[8]
Entry from Alexandria via LeMat-Bulk: crystalline PmPr3Nd7 at its relaxed geometry (PBE).

Structure (POSCAR):
```
PmPr3Nd7
1.0
-5.125 -1.627 -7.055
5.941 -0.394 -4.225
-2.571 -6.009 3.254
Pm Pr Nd
1 3 7
Direct
0.443 0.333 0.667
0.783 0.500 0.500
0.783 0.500 0.000
0.783 0.000 0.500
0.116 0.167 0.833
0.116 0.167 0.334
0.124 0.667 0.333
0.451 0.833 0.167
0.451 0.334 0.167
0.451 0.833 0.666
0.116 0.666 0.833
```

Calculated values
Energy above the lowest structure with this stoichiometry = 20 meV per atom
E_form = 0.16 eV per atom
Spin magnetization = 0.00 μB/cell
Crystal system = trigonal
Calculated volume = 37.23 Å³/atom



[9]
Entry from Alexandria via LeMat-Bulk: crystalline Pm3Pr5Nd3 at its relaxed geometry (PBE).

Structure (POSCAR):
```
Pm3Pr5Nd3
1.0
-3.075 -2.893 3.725
4.822 -8.263 -2.436
3.408 5.742 7.272
Pm Pr Nd
3 5 3
Direct
0.000 0.477 0.477
0.000 0.523 0.000
0.000 0.000 0.523
0.500 0.333 0.667
0.500 0.667 0.333
0.500 0.269 0.269
0.500 0.000 0.731
0.500 0.731 0.000
0.500 0.639 0.639
0.500 0.000 0.361
0.500 0.361 0.000
```

Calculated values
Energy above the lowest structure with this stoichiometry = 421 meV per atom
E_form = 0.71 eV per atom
Spin magnetization = 0.00 μB/cell
Crystal system = hexagonal
Calculated volume = 43.20 Å³/atom



[10]
Entry from Alexandria via LeMat-Bulk: crystalline Pm5Pr5Nd at its relaxed geometry (PBE).

Structure (POSCAR):
```
Pm5Pr5Nd
1.0
-1.180 5.712 -4.062
-7.669 -4.208 0.166
-8.741 1.451 4.316
Pm Pr Nd
5 5 1
Direct
0.303 0.044 0.313
0.352 0.506 0.778
0.000 0.500 0.500
0.648 0.494 0.222
0.697 0.956 0.687
0.146 0.496 0.147
0.238 0.087 0.641
0.500 0.000 0.000
0.762 0.913 0.359
0.854 0.504 0.853
0.000 0.000 0.000
```

Calculated values
Energy above the lowest structure with this stoichiometry = 0 meV per atom
E_form = 0.13 eV per atom
Spin magnetization = 0.00 μB/cell
Crystal system = triclinic
Calculated volume = 36.11 Å³/atom



[11]
Entry from Alexandria via LeMat-Bulk: crystalline Pm2Pr2Nd7 at its relaxed geometry (PBE).

Structure (POSCAR):
```
Pm2Pr2Nd7
1.0
10.740 3.322 -5.724
1.421 11.152 -5.724
-6.160 -7.331 12.556
Pm Pr Nd
4 4 14
Direct
0.167 0.001 0.465
0.999 0.833 0.035
0.001 0.167 0.965
0.833 0.999 0.535
0.170 0.356 0.413
0.356 0.170 0.913
0.644 0.830 0.087
0.830 0.644 0.587
0.988 0.648 0.293
0.235 0.527 0.184
0.536 0.315 0.345
0.826 0.174 0.250
0.648 0.988 0.793
0.527 0.235 0.684
0.315 0.536 0.845
0.685 0.464 0.155
0.473 0.765 0.316
0.352 0.012 0.207
0.174 0.826 0.750
0.464 0.685 0.655
0.765 0.473 0.816
0.012 0.352 0.707
```

Calculated values
Energy above the lowest structure with this stoichiometry = 0 meV per atom
E_form = 0.07 eV per atom
Spin magnetization = 0.00 μB/cell
Crystal system = monoclinic
Calculated volume = 35.34 Å³/atom



[12]
Entry from Alexandria via LeMat-Bulk: crystalline Pm4Pr15Nd at its relaxed geometry (PBE).

Structure (POSCAR):
```
Pm4Pr15Nd
1.0
-1.878 -4.854 0.603
3.327 -1.741 -3.655
17.873 -4.622 18.471
Pm Pr Nd
4 15 1
Direct
0.000 0.000 0.200
0.000 0.000 0.400
0.000 0.000 0.600
0.000 0.000 0.800
0.500 0.500 0.000
0.500 0.500 0.200
0.500 0.500 0.400
0.500 0.500 0.600
0.500 0.500 0.800
0.500 0.000 0.100
0.500 0.000 0.300
0.500 0.000 0.500
0.500 0.000 0.700
0.500 0.000 0.900
0.000 0.500 0.100
0.000 0.500 0.300
0.000 0.500 0.500
0.000 0.500 0.700
0.000 0.500 0.900
0.000 0.000 0.000
```

Calculated values
E_form = 0.01 eV per atom
Spin magnetization = 0.00 μB/cell
Crystal system = tetragonal
Calculated volume = 35.85 Å³/atom